DFT (GGA-PBE) results for a geometry-optimized La3Sb2Pb structure.

Cell lengths 4.5592, 6.5675, 8.1405 Å; angles 113.79, 106.26, 90.00 degrees
Element x y z (fractional)
La: 0.5000 0.0000 0.5000
La: 0.8265 0.3265 0.1530
Pb: 0.5000 0.5000 0.5000
Sb: 0.8347 0.8347 0.1693
La: 0.1735 0.6735 0.8470
Sb: 0.1653 0.1653 0.8307

Output
* energy: -5.45 eV/atom
* uncorrected formation energy: -5.97 eV/f.u.

=====

DFT (GGA-PBE) results for a geometry-optimized La2SbPb structure.

Cell lengths 5.5804, 5.5804, 5.5804 Å; angles 60.00, 60.00, 60.00 degrees
Element x y z (fractional)
Pb: 0.5000 0.5000 0.5000
Sb: 0.7500 0.7500 0.7500
La: 0.2500 0.2500 0.2500
La: 0.0000 0.0000 0.0000

Output
* energy: -4.73 eV/atom
* uncorrected formation energy: -1.23 eV/f.u.

=====

DFT (GGA-PBE) results for a geometry-optimized LaSb2Pb structure.

Cell lengths 5.1436, 5.1423, 4.4583 Å; angles 90.00, 90.00, 90.00 degrees
Element x y z (fractional)
Sb: 0.0000 0.0000 0.0000
La: 0.5000 0.0000 0.5000
Pb: 0.0000 0.5000 0.5000
Sb: 0.5000 0.5000 0.0000

Output
* energy: -4.82 eV/atom
* uncorrected formation energy: -2.40 eV/f.u.

=====

DFT (GGA-PBE) results for a geometry-optimized La4SbPb structure.

Cell lengths 6.4846, 6.4846, 6.4846 Å; angles 60.00, 60.00, 60.00 degrees
Element x y z (fractional)
Pb: 0.7500 0.7500 0.7500
La: 0.3752 0.3752 0.3752
La: 0.8743 0.3752 0.3752
La: 0.3752 0.8743 0.3752
Sb: 0.0000 0.0000 0.0000
La: 0.3752 0.3752 0.8743

Output
* energy: -4.73 eV/atom
* uncorrected formation energy: -0.82 eV/f.u.

=====

DFT (GGA-PBE) results for a geometry-optimized La2SbPb structure.

Cell lengths 11.2271, 11.2271, 11.2271 Å; angles 19.04, 19.04, 19.04 degrees
Element x y z (fractional)
Sb: 0.7507 0.7507 0.7507
Pb: 0.4954 0.4954 0.4954
La: 0.2480 0.2480 0.2480
La: 0.0058 0.0058 0.0058

Output
* energy: -4.53 eV/atom
* uncorrected formation energy: -0.44 eV/f.u.

=====

DFT (GGA-PBE) results for a geometry-optimized La8SbPb5 structure.

Cell lengths 8.5529, 8.5529, 8.5529 Å; angles 109.41, 109.60, 109.41 degrees
Element x y z (fractional)
Pb: 0.5000 0.0000 0.5000
Pb: 0.7498 0.6261 0.6256
La: 0.6220 0.8890 0.8753
La: 0.2670 0.2533 0.3780
La: 0.4843 0.6096 0.2329
Pb: 0.3744 0.1242 0.0005
La: 0.7671 0.2514 0.3767
La: 0.6233 0.3904 0.8747
Pb: 0.8763 0.8758 0.2502
Sb: 0.2500 0.5000 0.7500
La: 0.1247 0.7467 0.0137
Pb: 0.9995 0.3739 0.1237
La: 0.9863 0.1110 0.7330
La: 0.1253 0.7486 0.5157

Output
* energy: -5.15 eV/atom
* uncorrected formation energy: -10.00 eV/f.u.